Entry 1:
Computed, not measured: crystalline EuIn2Ag at its relaxed geometry at the PBE level of DFT.

CIF file:
```
data_EuIn2Ag
_cell_length_a 4.594
_cell_length_b 4.594
_cell_length_c 4.868
_cell_angle_alpha 90.00
_cell_angle_beta 90.00
_cell_angle_gamma 90.00
_symmetry_space_group_name_H-M 'P 4/m m m'
_symmetry_Int_Tables_number 123
_symmetry_space_group_name_Hall '-P 4 2'
loop_
_atom_site_label
_atom_site_type_symbol
_atom_site_fract_x
_atom_site_fract_y
_atom_site_fract_z
Eu1 Eu 0.000 0.000 0.000
In1 In 0.000 0.500 0.500
Ag1 Ag 0.500 0.500 0.000
```

Output
- V (Å³ per cell) = 102.76
- ΔE_f (meV/atom) = -253
- M_tot (μB per formula unit) = 7.12

***

Entry 2:
Computed, not measured: crystalline TbAsAu4 at its relaxed geometry at the PBE level of DFT.

CIF file:
```
data_TbAsAu4
_cell_length_a 7.901
_cell_length_b 7.901
_cell_length_c 7.901
_cell_angle_alpha 90.00
_cell_angle_beta 90.00
_cell_angle_gamma 90.00
_symmetry_space_group_name_H-M 'F -4 3 m'
_symmetry_Int_Tables_number 216
_symmetry_space_group_name_Hall 'F -4 2 3'
loop_
_atom_site_label
_atom_site_type_symbol
_atom_site_fract_x
_atom_site_fract_y
_atom_site_fract_z
Tb1 Tb 0.000 0.000 0.000
As1 As 0.250 0.250 0.750
Au1 Au 0.125 0.125 0.375
```

Output
- V (Å³ per cell) = 493.23
- ΔE_f (meV/atom) = -371
- M_tot (μB per formula unit) = 0.00

***

Entry 3:
Computed, not measured: crystalline YCd2In at its relaxed geometry at the PBE level of DFT.

CIF file:
```
data_YCd2In
_cell_length_a 3.855
_cell_length_b 3.855
_cell_length_c 6.816
_cell_angle_alpha 90.00
_cell_angle_beta 90.00
_cell_angle_gamma 90.00
_symmetry_space_group_name_H-M 'P 4/m m m'
_symmetry_Int_Tables_number 123
_symmetry_space_group_name_Hall '-P 4 2'
loop_
_atom_site_label
_atom_site_type_symbol
_atom_site_fract_x
_atom_site_fract_y
_atom_site_fract_z
Y1 Y 0.000 0.000 0.000
Cd1 Cd 0.500 0.500 0.257
In1 In 0.000 0.000 0.500
```

Output
- V (Å³ per cell) = 101.28
- ΔE_f (meV/atom) = -192
- M_tot (μB per formula unit) = 0.31

***

Entry 4:
Computed, not measured: crystalline CaSmEuAl at its relaxed geometry at the PBE level of DFT.

CIF file:
```
data_CaSmEuAl
_cell_length_a 7.852
_cell_length_b 7.852
_cell_length_c 7.852
_cell_angle_alpha 90.00
_cell_angle_beta 90.00
_cell_angle_gamma 90.00
_symmetry_space_group_name_H-M 'F -4 3 m'
_symmetry_Int_Tables_number 216
_symmetry_space_group_name_Hall 'F -4 2 3'
loop_
_atom_site_label
_atom_site_type_symbol
_atom_site_fract_x
_atom_site_fract_y
_atom_site_fract_z
Ca1 Ca 0.000 0.000 0.000
Sm1 Sm 0.250 0.250 0.750
Eu1 Eu 0.250 0.250 0.250
Al1 Al 0.000 0.000 0.500
```

Output
- V (Å³ per cell) = 484.07
- ΔE_f (meV/atom) = -40
- M_tot (μB per formula unit) = 7.32